# MnZn2Co PBE relaxed
data_MnZn2Co
_chemical_formula_sum 'Mn2 Zn4 Co2'
_space_group_name_H-M_alt 'I 4/m m m'
_space_group_IT_number 139
_space_group_name_Hall '-I 4 2'
_cell_length_a 3.7010
_cell_length_b 3.7010
_cell_length_c 7.5455
_cell_angle_alpha 90.00
_cell_angle_beta 90.00
_cell_angle_gamma 90.00
loop_
_atom_site_label
_atom_site_type_symbol
_atom_site_fract_x
_atom_site_fract_y
_atom_site_fract_z
Mn1 Mn 0.0000 0.0000 0.0000
Zn1 Zn 0.0000 0.5000 0.2500
Co1 Co 0.0000 0.0000 0.5000
# * DOS(E_F): 0.515 states/eV/atom
# * E_form: -0.043 eV per atom
# * volume: 103.4 Å³/cell
# * E above lowest polymorph: 0.0 meV per atom
# * theoretical density: 7.9 g/cm³